# 1
The following is a DFT calculation (PBE) of crystalline Li4Cd4In3 at its relaxed geometry.

Properties
E = -1.96 eV per atom
V = 233.6 Å³ per cell
E_form = -0.184 eV per atom
SG = P-1
Total moment = 0.00 μB per atom
Relative energy among the computed polymorphs = 0.000 eV per atom

Cell and atoms, written as CIF:
```
data_Li4Cd4In3
_chemical_formula_sum 'Li4 Cd4 In3'
_cell_length_a 3.169
_cell_length_b 4.602
_cell_length_c 16.193
_cell_angle_alpha 97.97
_cell_angle_beta 92.36
_cell_angle_gamma 90.65
_space_group_name_H-M_alt 'P 1'
_space_group_IT_number 1
_space_group_name_Hall 'P 1'
loop_
_atom_site_label
_atom_site_type_symbol
_atom_site_fract_x
_atom_site_fract_y
_atom_site_fract_z
Li1 Li 0.023 0.043 0.089
Li2 Li 0.471 0.690 0.378
Li3 Li 0.529 0.310 0.622
Li4 Li 0.977 0.957 0.911
Cd1 Cd 0.018 0.774 0.549
Cd2 Cd 0.491 0.592 0.184
Cd3 Cd 0.509 0.408 0.816
Cd4 Cd 0.982 0.226 0.451
In1 In 0.031 0.864 0.729
In2 In 0.500 0.500 0.000
In3 In 0.969 0.136 0.271
```

---

# 2
The following is a DFT calculation (PBE) of crystalline Li5CdIn6 at its relaxed geometry.

Properties
E = -2.47 eV per atom
V = 250.8 Å³ per cell
E_form = -0.223 eV per atom
SG = Cmmm
Total moment = 0.00 μB per atom

Cell and atoms, written as CIF:
```
data_Li5CdIn6
_chemical_formula_sum 'Li5 Cd1 In6'
_cell_length_a 7.129
_cell_length_b 7.129
_cell_length_c 8.262
_cell_angle_alpha 90.00
_cell_angle_beta 90.00
_cell_angle_gamma 143.33
_space_group_name_H-M_alt 'P 1'
_space_group_IT_number 1
_space_group_name_Hall 'P 1'
loop_
_atom_site_label
_atom_site_type_symbol
_atom_site_fract_x
_atom_site_fract_y
_atom_site_fract_z
Li1 Li 0.000 0.000 0.000
Li2 Li 0.333 0.667 0.000
Li3 Li 0.340 0.660 0.500
Li4 Li 0.660 0.340 0.500
Li5 Li 0.667 0.333 0.000
Cd1 Cd 0.000 0.000 0.500
In1 In 0.169 0.831 0.246
In2 In 0.169 0.831 0.754
In3 In 0.500 0.500 0.231
In4 In 0.500 0.500 0.769
In5 In 0.831 0.169 0.246
In6 In 0.831 0.169 0.754
```

---

# 3
The following is a DFT calculation (PBE) of crystalline Li5Cd3In12 at its relaxed geometry.

Properties
E = -2.11 eV per atom
V = 2346.3 Å³ per cell
E_form = 0.149 eV per atom
SG = Ia-3d
Total moment = 0.00 μB per atom

Cell and atoms, written as CIF:
```
data_Li5Cd3In12
_chemical_formula_sum 'Li20 Cd12 In48'
_cell_length_a 14.499
_cell_length_b 14.499
_cell_length_c 14.499
_cell_angle_alpha 109.47
_cell_angle_beta 109.47
_cell_angle_gamma 109.47
_space_group_name_H-M_alt 'P 1'
_space_group_IT_number 1
_space_group_name_Hall 'P 1'
loop_
_atom_site_label
_atom_site_type_symbol
_atom_site_fract_x
_atom_site_fract_y
_atom_site_fract_z
Li1 Li 0.000 0.000 0.000
Li2 Li 0.000 0.000 0.500
Li3 Li 0.000 0.500 0.000
Li4 Li 0.000 0.500 0.500
Li5 Li 0.125 0.750 0.875
Li6 Li 0.125 0.875 0.250
Li7 Li 0.250 0.125 0.875
Li8 Li 0.250 0.625 0.375
Li9 Li 0.375 0.250 0.625
Li10 Li 0.375 0.625 0.750
Li11 Li 0.500 0.000 0.000
Li12 Li 0.500 0.000 0.500
Li13 Li 0.500 0.500 0.000
Li14 Li 0.500 0.500 0.500
Li15 Li 0.625 0.375 0.250
Li16 Li 0.625 0.750 0.375
Li17 Li 0.750 0.375 0.625
Li18 Li 0.750 0.875 0.125
Li19 Li 0.875 0.125 0.750
Li20 Li 0.875 0.250 0.125
Cd1 Cd 0.125 0.250 0.375
Cd2 Cd 0.125 0.375 0.750
Cd3 Cd 0.250 0.375 0.125
Cd4 Cd 0.250 0.875 0.625
Cd5 Cd 0.375 0.125 0.250
Cd6 Cd 0.375 0.750 0.125
Cd7 Cd 0.625 0.250 0.875
Cd8 Cd 0.625 0.875 0.750
Cd9 Cd 0.750 0.125 0.375
Cd10 Cd 0.750 0.625 0.875
Cd11 Cd 0.875 0.625 0.250
Cd12 Cd 0.875 0.750 0.625
In1 In 0.061 0.223 0.139
In2 In 0.061 0.338 0.922
In3 In 0.078 0.639 0.416
In4 In 0.078 0.939 0.662
In5 In 0.084 0.723 0.662
In6 In 0.084 0.861 0.422
In7 In 0.139 0.061 0.223
In8 In 0.139 0.578 0.916
In9 In 0.162 0.223 0.584
In10 In 0.162 0.439 0.578
In11 In 0.223 0.139 0.061
In12 In 0.223 0.584 0.162
In13 In 0.277 0.338 0.916
In14 In 0.277 0.439 0.361
In15 In 0.338 0.916 0.277
In16 In 0.338 0.922 0.061
In17 In 0.361 0.277 0.439
In18 In 0.361 0.584 0.922
In19 In 0.416 0.078 0.639
In20 In 0.416 0.838 0.777
In21 In 0.422 0.084 0.861
In22 In 0.422 0.838 0.561
In23 In 0.439 0.361 0.277
In24 In 0.439 0.578 0.162
In25 In 0.561 0.422 0.838
In26 In 0.561 0.639 0.723
In27 In 0.578 0.162 0.439
In28 In 0.578 0.916 0.139
In29 In 0.584 0.162 0.223
In30 In 0.584 0.922 0.361
In31 In 0.639 0.416 0.078
In32 In 0.639 0.723 0.561
In33 In 0.662 0.078 0.939
In34 In 0.662 0.084 0.723
In35 In 0.723 0.561 0.639
In36 In 0.723 0.662 0.084
In37 In 0.777 0.416 0.838
In38 In 0.777 0.861 0.939
In39 In 0.838 0.561 0.422
In40 In 0.838 0.777 0.416
In41 In 0.861 0.422 0.084
In42 In 0.861 0.939 0.777
In43 In 0.916 0.139 0.578
In44 In 0.916 0.277 0.338
In45 In 0.922 0.061 0.338
In46 In 0.922 0.361 0.584
In47 In 0.939 0.662 0.078
In48 In 0.939 0.777 0.861
```

---

# 4
The following is a DFT calculation (PBE) of crystalline Li12Cd6In at its relaxed geometry.

Properties
E = -1.82 eV per atom
V = 376.9 Å³ per cell
E_form = -0.179 eV per atom
SG = R-3
Total moment = 0.00 μB per atom

Cell and atoms, written as CIF:
```
data_Li12Cd6In
_chemical_formula_sum 'Li12 Cd6 In1'
_cell_length_a 7.224
_cell_length_b 7.224
_cell_length_c 7.224
_cell_angle_alpha 91.00
_cell_angle_beta 91.00
_cell_angle_gamma 91.00
_space_group_name_H-M_alt 'P 1'
_space_group_IT_number 1
_space_group_name_Hall 'P 1'
loop_
_atom_site_label
_atom_site_type_symbol
_atom_site_fract_x
_atom_site_fract_y
_atom_site_fract_z
Li1 Li 0.027 0.934 0.300
Li2 Li 0.066 0.700 0.973
Li3 Li 0.126 0.465 0.344
Li4 Li 0.300 0.027 0.934
Li5 Li 0.344 0.126 0.465
Li6 Li 0.465 0.344 0.126
Li7 Li 0.535 0.656 0.874
Li8 Li 0.656 0.874 0.535
Li9 Li 0.700 0.973 0.066
Li10 Li 0.874 0.535 0.656
Li11 Li 0.934 0.300 0.027
Li12 Li 0.973 0.066 0.700
Cd1 Cd 0.216 0.778 0.618
Cd2 Cd 0.222 0.382 0.784
Cd3 Cd 0.382 0.784 0.222
Cd4 Cd 0.618 0.216 0.778
Cd5 Cd 0.778 0.618 0.216
Cd6 Cd 0.784 0.222 0.382
In1 In 0.500 0.500 0.500
```

---

# 5
The following is a DFT calculation (PBE) of crystalline Li8Cd3In at its relaxed geometry.

Properties
E = -1.69 eV per atom
V = 274.9 Å³ per cell
E_form = 0.047 eV per atom
SG = I-42m
Total moment = 0.00 μB per atom

Cell and atoms, written as CIF:
```
data_Li8Cd3In
_chemical_formula_sum 'Li8 Cd3 In1'
_cell_length_a 7.225
_cell_length_b 7.225
_cell_length_c 7.225
_cell_angle_alpha 117.81
_cell_angle_beta 117.81
_cell_angle_gamma 93.84
_space_group_name_H-M_alt 'P 1'
_space_group_IT_number 1
_space_group_name_Hall 'P 1'
loop_
_atom_site_label
_atom_site_type_symbol
_atom_site_fract_x
_atom_site_fract_y
_atom_site_fract_z
Li1 Li 0.118 0.118 0.733
Li2 Li 0.249 0.249 0.498
Li3 Li 0.249 0.751 0.000
Li4 Li 0.385 0.385 0.267
Li5 Li 0.615 0.882 0.000
Li6 Li 0.751 0.249 0.000
Li7 Li 0.751 0.751 0.502
Li8 Li 0.882 0.615 0.000
Cd1 Cd 0.000 0.000 0.000
Cd2 Cd 0.250 0.750 0.500
Cd3 Cd 0.750 0.250 0.500
In1 In 0.500 0.500 0.000
```

---

# 6
The following is a DFT calculation (PBE) of crystalline LiCd5In at its relaxed geometry.

Properties
E = -1.34 eV per atom
V = 326.6 Å³ per cell
E_form = -0.026 eV per atom
SG = C2/c
Total moment = 0.00 μB per atom
Relative energy among the computed polymorphs = 0.000 eV per atom

Cell and atoms, written as CIF:
```
data_LiCd5In
_chemical_formula_sum 'Li2 Cd10 In2'
_cell_length_a 6.156
_cell_length_b 6.156
_cell_length_c 9.369
_cell_angle_alpha 106.43
_cell_angle_beta 106.43
_cell_angle_gamma 86.64
_space_group_name_H-M_alt 'P 1'
_space_group_IT_number 1
_space_group_name_Hall 'P 1'
loop_
_atom_site_label
_atom_site_type_symbol
_atom_site_fract_x
_atom_site_fract_y
_atom_site_fract_z
Li1 Li 0.000 0.500 0.000
Li2 Li 0.500 0.000 0.500
Cd1 Cd 0.100 0.900 0.250
Cd2 Cd 0.104 0.251 0.546
Cd3 Cd 0.251 0.104 0.046
Cd4 Cd 0.296 0.475 0.353
Cd5 Cd 0.475 0.296 0.853
Cd6 Cd 0.525 0.704 0.147
Cd7 Cd 0.704 0.525 0.647
Cd8 Cd 0.749 0.896 0.954
Cd9 Cd 0.896 0.749 0.454
Cd10 Cd 0.900 0.100 0.750
In1 In 0.275 0.725 0.750
In2 In 0.725 0.275 0.250
```

---

# 7
The following is a DFT calculation (PBE) of crystalline Li3Cd2In3 at its relaxed geometry.

Properties
E = -2.18 eV per atom
V = 167.2 Å³ per cell
E_form = -0.207 eV per atom
SG = Immm
Total moment = 0.00 μB per atom

Cell and atoms, written as CIF:
```
data_Li3Cd2In3
_chemical_formula_sum 'Li3 Cd2 In3'
_cell_length_a 9.365
_cell_length_b 9.365
_cell_length_c 9.365
_cell_angle_alpha 154.20
_cell_angle_beta 152.07
_cell_angle_gamma 38.38
_space_group_name_H-M_alt 'P 1'
_space_group_IT_number 1
_space_group_name_Hall 'P 1'
loop_
_atom_site_label
_atom_site_type_symbol
_atom_site_fract_x
_atom_site_fract_y
_atom_site_fract_z
Li1 Li 0.000 0.000 0.000
Li2 Li 0.374 0.874 0.500
Li3 Li 0.626 0.126 0.500
Cd1 Cd 0.251 0.251 0.000
Cd2 Cd 0.749 0.749 0.000
In1 In 0.125 0.625 0.500
In2 In 0.500 0.500 0.000
In3 In 0.875 0.375 0.500
```

---

# 8
The following is a DFT calculation (PBE) of crystalline Li6CdIn3 at its relaxed geometry.

Properties
E = -2.31 eV per atom
V = 383.6 Å³ per cell
E_form = -0.253 eV per atom
SG = P2_1/m
Total moment = 0.00 μB per atom

Cell and atoms, written as CIF:
```
data_Li6CdIn3
_chemical_formula_sum 'Li12 Cd2 In6'
_cell_length_a 7.966
_cell_length_b 4.843
_cell_length_c 10.551
_cell_angle_alpha 90.00
_cell_angle_beta 109.55
_cell_angle_gamma 90.00
_space_group_name_H-M_alt 'P 1'
_space_group_IT_number 1
_space_group_name_Hall 'P 1'
loop_
_atom_site_label
_atom_site_type_symbol
_atom_site_fract_x
_atom_site_fract_y
_atom_site_fract_z
Li1 Li 0.001 0.250 0.333
Li2 Li 0.005 0.750 0.167
Li3 Li 0.206 0.250 0.134
Li4 Li 0.210 0.750 0.475
Li5 Li 0.401 0.250 0.933
Li6 Li 0.413 0.750 0.273
Li7 Li 0.587 0.250 0.727
Li8 Li 0.599 0.750 0.067
Li9 Li 0.790 0.250 0.525
Li10 Li 0.794 0.750 0.866
Li11 Li 0.995 0.250 0.833
Li12 Li 0.999 0.750 0.667
Cd1 Cd 0.389 0.250 0.427
Cd2 Cd 0.611 0.750 0.573
In1 In 0.181 0.250 0.632
In2 In 0.191 0.750 0.972
In3 In 0.403 0.750 0.775
In4 In 0.597 0.250 0.225
In5 In 0.809 0.250 0.028
In6 In 0.819 0.750 0.368
```